# 1
La2SmYTm5 | PBE | relaxed

Cell: 8.6355 8.6355 15.6429 Å, 90.00 90.00 90.00°
Space group I4/mcm (No. 140)
Symmetry-distinct sites (fractional):
La 0.1173 0.3827 0.0000 (multiplicity 8)
Sm 0.0000 0.0000 0.2500 (multiplicity 4)
Y 0.0000 0.5000 0.2500 (multiplicity 4)
Tm 0.0000 0.0000 0.0000 (multiplicity 4)
Tm 0.2159 0.2841 0.3588 (multiplicity 16)

Values from the calculation:
The value obtained for the density of states at the Fermi level is 11.98 states/eV/f.u. As for the energy of formation from the pure elements: 0.257 eV/atom. The value obtained for the calculated total energy is -4.565 eV/atom.

***

# 2
La3SmYTm | PBE | relaxed

Cell: 8.1019 5.2114 10.3809 Å, 90.00 108.71 90.00°
Space group P2_1/m (No. 11)
Symmetry-distinct sites (fractional):
La 0.1668 0.2500 0.0439 (multiplicity 2)
La 0.1702 0.2500 0.5399 (multiplicity 2)
La 0.1710 0.7500 0.7912 (multiplicity 2)
Sm 0.1712 0.7500 0.2941 (multiplicity 2)
Y 0.4964 0.7500 0.1275 (multiplicity 2)
Tm 0.4994 0.2500 0.3783 (multiplicity 2)

Values from the calculation:
The value obtained for the density of states at the Fermi level is 10.92 states/eV/f.u. As for the energy of formation from the pure elements: 0.032 eV/atom. The value obtained for the calculated total energy is -5.041 eV/atom.

***

# 3
LaSm2YTm5 | PBE | relaxed

Cell: 8.7570 8.7570 15.1910 Å, 90.00 90.00 90.00°
Space group I4/mcm (No. 140)
Symmetry-distinct sites (fractional):
La 0.0000 0.0000 0.2500 (multiplicity 4)
Sm 0.1155 0.3845 0.0000 (multiplicity 8)
Y 0.0000 0.5000 0.2500 (multiplicity 4)
Tm 0.0000 0.0000 0.0000 (multiplicity 4)
Tm 0.2087 0.2913 0.3655 (multiplicity 16)

Values from the calculation:
The value obtained for the density of states at the Fermi level is 10.38 states/eV/f.u. As for the energy of formation from the pure elements: 0.263 eV/atom. The value obtained for the calculated total energy is -4.536 eV/atom.

***

# 4
LaSm2Y6Tm3 | PBE | relaxed

Cell: 6.2002 10.7330 11.8334 Å, 90.00 100.04 90.00°
Space group C2/m (No. 12)
Symmetry-distinct sites (fractional):
La 0.0000 0.0000 0.0000 (multiplicity 2)
Sm 0.0000 0.3334 0.0000 (multiplicity 4)
Y 0.2476 0.3329 0.7451 (multiplicity 8)
Y 0.2489 0.0000 0.7450 (multiplicity 4)
Tm 0.0000 0.1669 0.5000 (multiplicity 4)
Tm 0.0000 0.5000 0.5000 (multiplicity 2)

Values from the calculation:
The value obtained for the density of states at the Fermi level is 17.88 states/eV/f.u. As for the energy of formation from the pure elements: 0.025 eV/atom. The value obtained for the calculated total energy is -5.522 eV/atom.

***

# 5
La2SmY6Tm2 | PBE | relaxed

Cell: 6.2010 10.6097 11.5422 Å, 90.00 90.98 90.00°
Space group C2/m (No. 12)
Symmetry-distinct sites (fractional):
La 0.0000 0.1736 0.0000 (multiplicity 4)
Sm 0.0000 0.5000 0.5000 (multiplicity 2)
Y 0.1753 0.3342 0.7452 (multiplicity 8)
Y 0.1803 0.0000 0.7492 (multiplicity 4)
Tm 0.0000 0.1658 0.5000 (multiplicity 4)

Values from the calculation:
The value obtained for the density of states at the Fermi level is 17.61 states/eV/f.u. As for the energy of formation from the pure elements: 0.168 eV/atom. The value obtained for the calculated total energy is -5.496 eV/atom.

***

# 6
La3SmY6Tm2 | PBE | relaxed

Cell: 6.2509 10.8275 11.9123 Å, 90.00 100.07 90.00°
Space group C2/m (No. 12)
Symmetry-distinct sites (fractional):
La 0.0000 0.0000 0.0000 (multiplicity 2)
La 0.0000 0.3331 0.0000 (multiplicity 4)
Sm 0.0000 0.5000 0.5000 (multiplicity 2)
Y 0.2474 0.0000 0.7446 (multiplicity 4)
Y 0.2484 0.3330 0.7444 (multiplicity 8)
Tm 0.0000 0.1668 0.5000 (multiplicity 4)

Values from the calculation:
The value obtained for the density of states at the Fermi level is 17.40 states/eV/f.u. As for the energy of formation from the pure elements: 0.022 eV/atom. The value obtained for the calculated total energy is -5.580 eV/atom.

***

# 7
La5Sm2YTm | PBE | relaxed

Cell: 8.6401 8.6401 17.2692 Å, 90.00 90.00 90.00°
Space group I4/mcm (No. 140)
Symmetry-distinct sites (fractional):
La 0.0000 0.0000 0.0000 (multiplicity 4)
La 0.2191 0.2809 0.1434 (multiplicity 16)
Sm 0.1236 0.3764 0.5000 (multiplicity 8)
Y 0.0000 0.5000 0.2500 (multiplicity 4)
Tm 0.0000 0.0000 0.2500 (multiplicity 4)

Values from the calculation:
The value obtained for the density of states at the Fermi level is 16.33 states/eV/f.u. As for the energy of formation from the pure elements: 0.278 eV/atom. The value obtained for the calculated total energy is -4.724 eV/atom.

***

# 8
La2Sm2YTm4 | PBE | relaxed

Cell: 18.7545 3.6190 9.6131 Å, 90.00 115.80 90.00°
Space group C2/m (No. 12)
Symmetry-distinct sites (fractional):
La 0.1656 0.0000 0.0020 (multiplicity 4)
Sm 0.1470 0.5000 0.6624 (multiplicity 4)
Y 0.0000 0.5000 0.0000 (multiplicity 2)
Tm 0.0206 0.0000 0.3357 (multiplicity 4)
Tm 0.1849 0.5000 0.3392 (multiplicity 4)

Values from the calculation:
The value obtained for the density of states at the Fermi level is 13.66 states/eV/f.u. As for the energy of formation from the pure elements: 0.005 eV/atom. The value obtained for the calculated total energy is -4.844 eV/atom.

***

# 9
La2Sm5YTm | PBE | relaxed

Cell: 5.7061 20.2428 10.7767 Å, 90.00 90.00 90.00°
Space group Cmc2_1 (No. 36)
Symmetry-distinct sites (fractional):
La 0.0000 0.1141 0.0000 (multiplicity 4)
La 0.0000 0.1167 0.5821 (multiplicity 4)
Sm 0.0000 0.0152 0.2861 (multiplicity 4)
Sm 0.0000 0.2780 0.5775 (multiplicity 4)
Sm 0.0000 0.2967 0.9709 (multiplicity 4)
Sm 0.0000 0.3838 0.2869 (multiplicity 4)
Sm 0.0000 0.4820 0.0087 (multiplicity 4)
Y 0.0000 0.4080 0.7293 (multiplicity 4)
Tm 0.0000 0.2004 0.2769 (multiplicity 4)

Values from the calculation:
The value obtained for the density of states at the Fermi level is 12.75 states/eV/f.u. As for the energy of formation from the pure elements: 0.134 eV/atom. The value obtained for the calculated total energy is -4.798 eV/atom.

***

# 10
La2SmV | PBE | relaxed

Cell: 3.4489 3.4489 35.4650 Å, 90.00 90.00 120.00°
Space group R-3m (No. 166, hexagonal axes)
Symmetry-distinct sites (fractional):
La 0.0000 0.0000 0.0775 (multiplicity 6)
Sm 0.0000 0.0000 0.5000 (multiplicity 3)
V 0.0000 0.0000 0.0000 (multiplicity 3)

Values from the calculation:
The value obtained for the density of states at the Fermi level is 5.05 states/eV/f.u. As for the energy of formation from the pure elements: 0.612 eV/atom. The value obtained for the calculated total energy is -5.311 eV/atom.

***

# 11
LaSm15Y4 | PBE | relaxed

Cell: 5.1264 5.1264 25.6206 Å, 90.00 90.00 90.00°
Space group P4/mmm (No. 123)
Symmetry-distinct sites (fractional):
La 0.0000 0.0000 0.0000 (multiplicity 1)
Sm 0.0000 0.5000 0.1019 (multiplicity 4)
Sm 0.0000 0.5000 0.3009 (multiplicity 4)
Sm 0.0000 0.5000 0.5000 (multiplicity 2)
Sm 0.5000 0.5000 0.0000 (multiplicity 1)
Sm 0.5000 0.5000 0.2022 (multiplicity 2)
Sm 0.5000 0.5000 0.4005 (multiplicity 2)
Y 0.0000 0.0000 0.2012 (multiplicity 2)
Y 0.0000 0.0000 0.4005 (multiplicity 2)

Values from the calculation:
The value obtained for the density of states at the Fermi level is 29.16 states/eV/f.u. As for the energy of formation from the pure elements: 0.018 eV/atom. The value obtained for the calculated total energy is -5.061 eV/atom.

***

# 12
LaSm4Y6 | PBE | relaxed

Cell: 5.8165 9.7329 26.0713 Å, 90.00 90.00 90.00°
Space group Cmcm (No. 63)
Symmetry-distinct sites (fractional):
La 0.0000 0.1847 0.2500 (multiplicity 4)
Sm 0.0000 0.1578 0.5429 (multiplicity 8)
Sm 0.0000 0.4711 0.6221 (multiplicity 8)
Y 0.0000 0.1438 0.6808 (multiplicity 8)
Y 0.0000 0.1878 0.1008 (multiplicity 8)
Y 0.0000 0.4799 0.7500 (multiplicity 4)
Y 0.0000 0.5000 0.0000 (multiplicity 4)

Values from the calculation:
The value obtained for the density of states at the Fermi level is 20.26 states/eV/f.u. As for the energy of formation from the pure elements: 0.109 eV/atom. The value obtained for the calculated total energy is -5.581 eV/atom.

***

# 13
La2Sm2Y3 | PBE | relaxed

Cell: 6.2842 6.3055 12.6322 Å, 99.73 99.80 99.36°
Space group P-1 (No. 2)
Symmetry-distinct sites (fractional):
La 0.0700 0.1410 0.1428 (multiplicity 2)
La 0.0725 0.1405 0.6417 (multiplicity 2)
Sm 0.2159 0.4290 0.9287 (multiplicity 2)
Sm 0.3579 0.7134 0.7137 (multiplicity 2)
Y 0.2169 0.4300 0.4293 (multiplicity 2)
Y 0.3591 0.7136 0.2143 (multiplicity 2)
Y 0.5000 0.0000 0.0000 (multiplicity 1)
Y 0.5000 0.0000 0.5000 (multiplicity 1)

Values from the calculation:
The value obtained for the density of states at the Fermi level is 10.54 states/eV/f.u. As for the energy of formation from the pure elements: 0.021 eV/atom. The energy above the most stable polymorph in this dataset is 0 meV/atom. The value obtained for the calculated total energy is -5.505 eV/atom.

***

# 14
LaSmY6 | PBE | relaxed

Cell: 10.2756 6.7911 8.6786 Å, 90.00 105.39 90.00°
Space group C2/m (No. 12)
Symmetry-distinct sites (fractional):
La 0.0000 0.0000 0.0000 (multiplicity 2)
Sm 0.0000 0.0000 0.5000 (multiplicity 2)
Y 0.1269 0.5000 0.4264 (multiplicity 4)
Y 0.1983 0.2584 0.7985 (multiplicity 8)

Values from the calculation:
The value obtained for the density of states at the Fermi level is 13.14 states/eV/f.u. As for the energy of formation from the pure elements: 0.376 eV/atom. The energy above the most stable polymorph in this dataset is 232 meV/atom. The value obtained for the calculated total energy is -5.678 eV/atom.

***

# 15
La2SmY12 | PBE | relaxed

Cell: 3.5644 5.7368 25.0408 Å, 90.00 90.00 90.00°
Space group Pmmm (No. 47)
Symmetry-distinct sites (fractional):
La 0.0000 0.0000 0.2312 (multiplicity 2)
Sm 0.0000 0.0000 0.5000 (multiplicity 1)
Y 0.0000 0.5000 0.0615 (multiplicity 2)
Y 0.0000 0.5000 0.4226 (multiplicity 2)
Y 0.5000 0.0000 0.0838 (multiplicity 2)
Y 0.5000 0.0000 0.3740 (multiplicity 2)
Y 0.5000 0.5000 0.1719 (multiplicity 2)
Y 0.5000 0.5000 0.3015 (multiplicity 2)

Values from the calculation:
The value obtained for the density of states at the Fermi level is 27.78 states/eV/f.u. As for the energy of formation from the pure elements: 0.163 eV/atom. The value obtained for the calculated total energy is -5.980 eV/atom.

***

# 16
La4Sm2Y5 | PBE | relaxed

Cell: 18.5576 5.1712 8.1333 Å, 90.00 104.86 90.00°
Space group C2/m (No. 12)
Symmetry-distinct sites (fractional):
La 0.1348 0.0000 0.1780 (multiplicity 4)
La 0.2272 0.0000 0.6354 (multiplicity 4)
Sm 0.0900 0.5000 0.4547 (multiplicity 4)
Y 0.0000 0.5000 0.0000 (multiplicity 2)
Y 0.0442 0.0000 0.7235 (multiplicity 4)
Y 0.1803 0.5000 0.9058 (multiplicity 4)

Values from the calculation:
The value obtained for the density of states at the Fermi level is 18.52 states/eV/f.u. As for the energy of formation from the pure elements: 0.025 eV/atom. The energy above the most stable polymorph in this dataset is 0 meV/atom. The value obtained for the calculated total energy is -5.563 eV/atom.

***

# 17
La2Sm8Y3 | PBE | relaxed

Cell: 21.1334 7.7026 5.6481 Å, 90.00 90.02 90.00°
Space group C2/m (No. 12)
Symmetry-distinct sites (fractional):
La 0.2412 0.0000 0.4990 (multiplicity 4)
Sm 0.1039 0.2926 0.5001 (multiplicity 8)
Sm 0.1284 0.0000 0.9997 (multiplicity 4)
Sm 0.1635 0.5000 0.0006 (multiplicity 4)
Y 0.0000 0.0000 0.5000 (multiplicity 2)
Y 0.0000 0.2855 0.0000 (multiplicity 4)

Values from the calculation:
The value obtained for the density of states at the Fermi level is 22.15 states/eV/f.u. As for the energy of formation from the pure elements: 0.216 eV/atom. The value obtained for the calculated total energy is -4.938 eV/atom.

***

# 18
La2Sm3Y4 | PBE | relaxed

Cell: 11.9368 3.6011 14.3206 Å, 90.00 94.84 90.00°
Space group C2/m (No. 12)
Symmetry-distinct sites (fractional):
La 0.1369 0.0000 0.4348 (multiplicity 4)
Sm 0.0000 0.0000 0.0000 (multiplicity 2)
Sm 0.0708 0.5000 0.2124 (multiplicity 4)
Y 0.1473 0.0000 0.6822 (multiplicity 4)
Y 0.2155 0.5000 0.8930 (multiplicity 4)

Values from the calculation:
The value obtained for the density of states at the Fermi level is 14.39 states/eV/f.u. As for the energy of formation from the pure elements: 0.068 eV/atom. The energy above the most stable polymorph in this dataset is 45 meV/atom. The value obtained for the calculated total energy is -5.473 eV/atom.

***

# 19
LaSm3Y7 | PBE | relaxed

Cell: 6.9822 5.6001 10.0987 Å, 90.00 109.26 90.00°
Space group P2/m (No. 10)
Symmetry-distinct sites (fractional):
La 0.0000 0.0000 0.0000 (multiplicity 1)
Sm 0.2806 0.5000 0.4971 (multiplicity 2)
Sm 0.5000 0.0000 0.0000 (multiplicity 1)
Y 0.0000 0.0000 0.5000 (multiplicity 1)
Y 0.1451 0.5000 0.7869 (multiplicity 2)
Y 0.3228 0.5000 0.1387 (multiplicity 2)
Y 0.4234 0.0000 0.3305 (multiplicity 2)

Values from the calculation:
The value obtained for the density of states at the Fermi level is 18.23 states/eV/f.u. As for the energy of formation from the pure elements: 0.138 eV/atom. The energy above the most stable polymorph in this dataset is 0 meV/atom. The value obtained for the calculated total energy is -5.710 eV/atom.